Computed, not measured: BaBe2SiOs after structural relaxation at the PBE-GGA level of DFT.

Geometry as POSCAR:
```
BaBe2SiOs
1.0
4.6003 0.0000 0.0000
0.0000 4.6003 0.0000
0.0000 0.0000 4.5912
Ba Be Si Os
1 2 1 1
Direct
0.0000 0.0000 0.0000
0.0000 0.5000 0.5000
0.5000 0.0000 0.5000
0.5000 0.5000 0.0000
0.5000 0.5000 0.5000
```

Results
E in eV/atom: -5.314
Space group: No. 123
Formation energy (no corrections) in eV/atom: -0.1081